[1]
Material: Th2Be3ZnCu12
Method: DFT, PBE-GGA
State: optimized geometry

a b c (Å): 7.5030 7.5030 17.8122
angles (deg): 90.00 90.00 120.00
With the nearest neighbours (Å) after each atom.
Space group R-3m (No. 166, hexagonal axes)
One atom of each set of equivalent atoms:
Th (0.0000, 0.0000, 0.1065) [6 per cell]  6 Cu 2.84
Be (0.0000, 0.5000, 0.0000) [9 per cell]  6 Cu 2.09-2.13
Zn (0.0000, 0.0000, 0.5000) [3 per cell]  6 Cu 2.38
Cu (0.0095, 0.5048, 0.8805) [18 per cell]  1 Be 2.13, 1 Zn 2.38
Cu (0.0412, 0.5206, 0.3573) [18 per cell]  2 Be 2.09

***

[2]
Material: TiBe2Cu
Method: DFT, PBE-GGA
State: optimized geometry

a b c (Å): 5.6068 5.6068 5.6068
angles (deg): 90.00 90.00 90.00
With the nearest neighbours (Å) after each atom.
Space group Fm-3m (No. 225)
One atom of each set of equivalent atoms:
Ti (0.0000, 0.0000, 0.0000) [4 per cell]  8 Be 2.43
Be (0.2500, 0.2500, 0.2500) [8 per cell]  4 Cu 2.43, 4 Ti 2.43
Cu (0.0000, 0.0000, 0.5000) [4 per cell]  8 Be 2.43

relative energy among the computed polymorphs: 23 kJ/mol of formula units

***

[3]
Material: TiBe4Cu
Method: DFT, PBE-GGA
State: optimized geometry

a b c (Å): 3.4392 13.8960 5.2525
angles (deg): 90.00 90.00 90.00
With the nearest neighbours (Å) after each atom.
Space group Cmcm (No. 63)
One atom of each set of equivalent atoms:
Ti (0.0000, 0.1099, 0.2500) [4 per cell]  11 Be 2.44-2.68
Be (0.0000, 0.0732, 0.7500) [4 per cell]  1 Cu 2.19, 8 Be 2.34-2.39
Be (0.0000, 0.3410, 0.0519) [8 per cell]  2 Be 2.08-2.23, 3 Cu 2.21-2.24
Be (0.0000, 0.5000, 0.0000) [4 per cell]  6 Be 2.23-2.39
Cu (0.0000, 0.2307, 0.7500) [4 per cell]  7 Be 2.19-2.24

relative energy among the computed polymorphs: 12 kJ/mol of formula units

***

[4]
Material: TiBe2Cu
Method: DFT, PBE-GGA
State: optimized geometry

a b c (Å): 4.2757 3.5141 5.9331
angles (deg): 90.00 90.00 90.00
With the nearest neighbours (Å) after each atom.
Space group Pmma (No. 51)
One atom of each set of equivalent atoms:
Ti (0.2500, 0.0000, 0.1801) [2 per cell]  3 Be 2.48-2.51, 2 Cu 2.59
Be (0.0000, 0.5000, 0.5000) [2 per cell]  6 Be 2.14, 2 Cu 2.39
Be (0.2500, 0.0000, 0.5975) [2 per cell]  4 Be 2.14, 2 Cu 2.35
Cu (0.2500, 0.5000, 0.8594) [2 per cell]  4 Be 2.35-2.39, 2 Ti 2.59

relative energy among the computed polymorphs: 0 kJ/mol of formula units

***

[5]
Material: Ti2BeCu
Method: DFT, PBE-GGA
State: optimized geometry

a b c (Å): 2.9362 2.9362 6.3045
angles (deg): 90.00 90.00 90.00
With the nearest neighbours (Å) after each atom.
Space group P4/mmm (No. 123)
One atom of each set of equivalent atoms:
Ti (0.0000, 0.0000, 0.2350) [2 per cell]  4 Be 2.55, 4 Cu 2.67
Be (0.5000, 0.5000, 0.0000) [1 per cell]  8 Ti 2.55
Cu (0.5000, 0.5000, 0.5000) [1 per cell]  8 Ti 2.67, 4 Cu 2.94

***

[6]
Material: Ti2Be16Cu
Method: DFT, PBE-GGA
State: optimized geometry

a b c (Å): 7.4047 7.4047 10.8033
angles (deg): 90.00 90.00 120.00
With the nearest neighbours (Å) after each atom.
Space group R3m (No. 160, hexagonal axes)
One atom of each set of equivalent atoms:
Ti (0.0000, 0.0000, 0.0000) [3 per cell]  18 Be 2.62-2.87, 1 Cu 2.64
Ti (0.0000, 0.0000, 0.3209) [3 per cell]  13 Be 2.51-2.77
Be (0.0000, 0.0000, 0.5530) [3 per cell]  1 Cu 2.19, 6 Be 2.22-2.30
Be (0.0002, 0.2966, 0.6588) [18 per cell]  8 Be 2.12-2.26
Be (0.0032, 0.5016, 0.1583) [9 per cell]  9 Be 2.12-2.22, 1 Cu 2.28
Be (0.0037, 0.5019, 0.8147) [9 per cell]  9 Be 2.12-2.30
Be (0.1699, 0.3399, 0.8360) [9 per cell]  8 Be 2.12-2.26, 1 Cu 2.35
Cu (0.0000, 0.0000, 0.7556) [3 per cell]  13 Be 2.19-2.43

***

[7]
Material: TiBe5Cu4
Method: DFT, PBE-GGA
State: optimized geometry

a b c (Å): 2.7245 2.7245 13.9409
angles (deg): 90.00 90.00 90.00
With the nearest neighbours (Å) after each atom.
Space group P4/mmm (No. 123)
One atom of each set of equivalent atoms:
Ti (0.0000, 0.0000, 0.0000) [1 per cell]  8 Be 2.61, 4 Ti 2.72
Be (0.5000, 0.5000, 0.1261) [2 per cell]  4 Cu 2.29
Be (0.5000, 0.5000, 0.3110) [2 per cell]  8 Cu 2.33-2.34, 1 Be 2.58
Be (0.5000, 0.5000, 0.5000) [1 per cell]  8 Cu 2.34
Cu (0.0000, 0.0000, 0.2154) [2 per cell]  8 Be 2.29-2.34
Cu (0.0000, 0.0000, 0.4049) [2 per cell]  8 Be 2.33-2.34

***

[8]
Material: Ti4BeCu
Method: DFT, PBE-GGA
State: optimized geometry

a b c (Å): 2.9211 2.9211 10.4804
angles (deg): 90.00 90.00 90.00
With the nearest neighbours (Å) after each atom.
Space group P4/mmm (No. 123)
One atom of each set of equivalent atoms:
Ti (0.0000, 0.0000, 0.1477) [2 per cell]  4 Be 2.58, 4 Ti 2.82
Ti (0.5000, 0.5000, 0.3304) [2 per cell]  4 Cu 2.72, 8 Ti 2.82-2.92
Be (0.5000, 0.5000, 0.0000) [1 per cell]  8 Ti 2.58
Cu (0.0000, 0.0000, 0.5000) [1 per cell]  8 Ti 2.72, 4 Cu 2.92

***

[9]
Material: Ti2BeCu
Method: DFT, PBE-GGA
State: optimized geometry

a b c (Å): 6.9186 6.9186 4.7149
angles (deg): 90.00 90.00 90.00
With the nearest neighbours (Å) after each atom.
Space group I-42d (No. 122)
One atom of each set of equivalent atoms:
Ti (0.2441, 0.7500, 0.1250) [8 per cell]  2 Ti 2.36, 2 Be 2.49, 2 Cu 2.54
Be (0.0000, 0.0000, 0.0000) [4 per cell]  2 Cu 2.36, 4 Ti 2.49
Cu (0.0000, 0.0000, 0.5000) [4 per cell]  2 Be 2.36, 4 Ti 2.54

***

[10]
Material: TiBe3Cu
Method: DFT, PBE-GGA
State: optimized geometry

a b c (Å): 3.9338 3.9338 3.9338
angles (deg): 90.00 90.00 90.00
With the nearest neighbours (Å) after each atom.
Space group Pm-3m (No. 221)
One atom of each set of equivalent atoms:
Ti (0.0000, 0.0000, 0.0000) [1 per cell]  12 Be 2.78
Be (0.0000, 0.5000, 0.5000) [3 per cell]  2 Cu 1.97
Cu (0.5000, 0.5000, 0.5000) [1 per cell]  6 Be 1.97

relative energy among the computed polymorphs: 0 kJ/mol of formula units

***

[11]
Material: TiBe9Cu2
Method: DFT, PBE-GGA
State: optimized geometry

a b c (Å): 4.3073 4.3073 20.6397
angles (deg): 90.00 90.00 120.00
With the nearest neighbours (Å) after each atom.
Space group R-3m (No. 166, hexagonal axes)
One atom of each set of equivalent atoms:
Ti (0.0000, 0.0000, 0.0000) [3 per cell]  18 Be 2.49-2.77
Be (0.0000, 0.0000, 0.3324) [6 per cell]  6 Be 2.12-2.16
Be (0.0000, 0.0000, 0.5000) [3 per cell]  6 Be 2.11
Be (0.0006, 0.5003, 0.9158) [18 per cell]  7 Be 2.11-2.16
Cu (0.0000, 0.0000, 0.1427) [6 per cell]  12 Be 2.47-2.54, 3 Cu 2.68

***

[12]
Material: TiBe2Cu
Method: DFT, PBE-GGA
State: optimized geometry

a b c (Å): 3.7896 3.7896 14.9436
angles (deg): 90.00 90.00 90.00
With the nearest neighbours (Å) after each atom.
Space group I-42d (No. 122)
One atom of each set of equivalent atoms:
Ti (0.0000, 0.0000, 0.0000) [4 per cell]  4 Be 2.65, 4 Cu 2.68
Be (0.0732, 0.2500, 0.6250) [8 per cell]  2 Be 1.97, 2 Cu 2.11
Cu (0.0000, 0.0000, 0.5000) [4 per cell]  4 Be 2.11

relative energy among the computed polymorphs: 230 kJ/mol of formula units

***

[13]
Material: TiBeCu4
Method: DFT, PBE-GGA
State: optimized geometry

a b c (Å): 6.7337 6.7337 6.7337
angles (deg): 90.00 90.00 90.00
With the nearest neighbours (Å) after each atom.
Space group F-43m (No. 216)
One atom of each set of equivalent atoms:
Ti (0.0000, 0.0000, 0.0000) [4 per cell]  12 Cu 2.79, 4 Be 2.92
Be (0.2500, 0.2500, 0.7500) [4 per cell]  12 Cu 2.79, 4 Ti 2.92
Cu (0.1246, 0.1246, 0.3754) [16 per cell]  6 Cu 2.37-2.39

***

[14]
Material: TiBeCu3
Method: DFT, PBE-GGA
State: optimized geometry

a b c (Å): 4.5906 4.5906 4.5906
angles (deg): 90.00 90.00 90.00
With the nearest neighbours (Å) after each atom.
Space group Pm-3m (No. 221)
One atom of each set of equivalent atoms:
Ti (0.0000, 0.0000, 0.0000) [1 per cell]  6 Cu 2.30
Be (0.5000, 0.5000, 0.5000) [1 per cell]  12 Cu 3.25
Cu (0.0000, 0.0000, 0.5000) [3 per cell]  2 Ti 2.30

relative energy among the computed polymorphs: 617 kJ/mol of formula units

***

[15]
Material: Ti3Be9Cu2
Method: DFT, PBE-GGA
State: optimized geometry

a b c (Å): 3.6669 7.3409 10.9322
angles (deg): 90.00 90.00 90.00
With the nearest neighbours (Å) after each atom.
Space group Immm (No. 71)
One atom of each set of equivalent atoms:
Ti (0.0000, 0.0000, 0.0000) [2 per cell]  12 Be 2.57-2.74
Ti (0.0000, 0.0000, 0.2845) [4 per cell]  12 Be 2.50-2.70, 2 Cu 2.70
Be (0.0000, 0.2837, 0.1382) [8 per cell]  4 Be 2.13-2.26
Be (0.0000, 0.3587, 0.3391) [8 per cell]  4 Be 2.08-2.26, 1 Cu 2.19
Be (0.0000, 0.5000, 0.0000) [2 per cell]  4 Be 2.19, 4 Cu 2.26
Cu (0.0000, 0.1799, 0.5000) [4 per cell]  8 Be 2.19-2.39

***

[16]
Material: TiBe3Cu
Method: DFT, PBE-GGA
State: optimized geometry

a b c (Å): 4.4077 4.4077 4.4077
angles (deg): 90.00 90.00 90.00
With the nearest neighbours (Å) after each atom.
Space group Pm-3m (No. 221)
One atom of each set of equivalent atoms:
Ti (0.0000, 0.0000, 0.0000) [1 per cell]  6 Be 2.20
Be (0.0000, 0.0000, 0.5000) [3 per cell]  2 Ti 2.20
Cu (0.5000, 0.5000, 0.5000) [1 per cell]  12 Be 3.12

relative energy among the computed polymorphs: 693 kJ/mol of formula units

***

[17]
Material: TiBe6Cu6
Method: DFT, PBE-GGA
State: optimized geometry

a b c (Å): 4.3981 7.7987 7.8428
angles (deg): 90.00 90.00 90.00
With the nearest neighbours (Å) after each atom.
Space group Immm (No. 71)
One atom of each set of equivalent atoms:
Ti (0.0000, 0.0000, 0.0000) [2 per cell]  8 Cu 2.64-2.71, 4 Be 2.85
Be (0.0000, 0.5000, 0.2686) [4 per cell]  4 Be 2.24, 6 Cu 2.33-2.43
Be (0.2500, 0.2500, 0.2500) [8 per cell]  4 Be 2.20-2.24, 6 Cu 2.30-2.37
Cu (0.0000, 0.0000, 0.3454) [4 per cell]  6 Be 2.36-2.37, 1 Cu 2.43
Cu (0.0000, 0.3127, 0.5000) [4 per cell]  6 Be 2.30-2.33, 2 Cu 2.52
Cu (0.0000, 0.3449, 0.0000) [4 per cell]  6 Be 2.37-2.43, 3 Cu 2.42-2.52

***

[18]
Material: TiBe4Cu
Method: DFT, PBE-GGA
State: optimized geometry

a b c (Å): 6.2462 6.2462 6.2462
angles (deg): 90.00 90.00 90.00
With the nearest neighbours (Å) after each atom.
Space group F-43m (No. 216)
One atom of each set of equivalent atoms:
Ti (0.0000, 0.0000, 0.0000) [4 per cell]  12 Be 2.59, 4 Cu 2.70
Be (0.1269, 0.1269, 0.3731) [16 per cell]  6 Be 2.17-2.24
Cu (0.2500, 0.2500, 0.7500) [4 per cell]  12 Be 2.59, 4 Ti 2.70

relative energy among the computed polymorphs: 0 kJ/mol of formula units

***

[19]
Material: TiBeCu3
Method: DFT, PBE-GGA
State: optimized geometry

a b c (Å): 4.0243 4.0243 4.0243
angles (deg): 90.00 90.00 90.00
With the nearest neighbours (Å) after each atom.
Space group Pm-3m (No. 221)
One atom of each set of equivalent atoms:
Ti (0.0000, 0.0000, 0.0000) [1 per cell]  12 Cu 2.85
Be (0.5000, 0.5000, 0.5000) [1 per cell]  6 Cu 2.01
Cu (0.0000, 0.5000, 0.5000) [3 per cell]  2 Be 2.01

relative energy among the computed polymorphs: 0 kJ/mol of formula units

***

[20]
Material: TiBe2Cu
Method: DFT, PBE-GGA
State: optimized geometry

a b c (Å): 2.7350 2.7350 6.0025
angles (deg): 90.00 90.00 90.00
With the nearest neighbours (Å) after each atom.
Space group P4/mmm (No. 123)
One atom of each set of equivalent atoms:
Ti (0.0000, 0.0000, 0.0000) [1 per cell]  8 Be 2.60, 4 Ti 2.74
Be (0.5000, 0.5000, 0.2903) [2 per cell]  4 Cu 2.31, 1 Be 2.52
Cu (0.0000, 0.0000, 0.5000) [1 per cell]  8 Be 2.31

relative energy among the computed polymorphs: 25 kJ/mol of formula units

***

Number 1: energy relative to the elements 311.5 meV per atom. Number 2: energy relative to the elements -95.4 meV per atom. Number 3: energy relative to the elements -28.7 meV per atom. Number 4: energy relative to the elements -155.7 meV per atom. Number 5: energy relative to the elements -78.8 meV per atom. Number 6: energy relative to the elements -206.8 meV per atom. Number 7: energy relative to the elements -103.0 meV per atom. Number 8: energy relative to the elements -89.4 meV per atom. Number 9: energy relative to the elements 301.3 meV per atom. Number 10: energy relative to the elements 350.0 meV per atom. Number 11: energy relative to the elements -153.9 meV per atom. Number 12: energy relative to the elements 439.8 meV per atom. Number 13: energy relative to the elements 86.1 meV per atom. Number 14: energy relative to the elements 1548.6 meV per atom. Number 15: energy relative to the elements -162.4 meV per atom. Number 16: energy relative to the elements 1787.3 meV per atom. Number 17: energy relative to the elements -136.5 meV per atom. Number 18: energy relative to the elements -49.0 meV per atom. Number 19: energy relative to the elements 269.2 meV per atom. Number 20: energy relative to the elements -91.8 meV per atom.